Tb2Al4CdCu3 | PBE | optimized geometry

Cell and atoms, written as POSCAR:
```
Tb2Al4CdCu3
1.0
4.189 0.000 0.000
0.000 4.189 0.000
0.000 0.000 10.523
Tb Al Cd Cu
2 4 1 3
direct
0.000 0.500 0.239
0.500 0.000 0.761
0.000 0.000 0.000
0.000 0.500 0.651
0.500 0.000 0.349
0.500 0.500 0.000
0.000 0.000 0.500
0.000 0.500 0.875
0.500 0.000 0.125
0.500 0.500 0.500
```

Output
For the total magnetization, the calculation gives 0.000 μB/atom. Its space group is P-4m2 (115). The raw total energy comes out at -41.10 eV/cell. Its density of states at the Fermi level is 4.87 states/eV/f.u.